1.
Compound: ScAsW2
Source: Alexandria
Functional: PBE
Structure: optimized geometry

Values from the calculation:
For the density of states at the Fermi level, the calculation gives 3.7 states/eV per cell. Its crystal system is trigonal. The calculation puts the calculated formation energy at 0.36 eV per atom.

abc: 8.786 8.786 8.786
angles: 20.12 20.12 20.12
Element x y z (fractional)
Sc  0.000  0.000  0.000
As  0.500  0.500  0.500
W  0.241  0.241  0.241
W  0.759  0.759  0.759

2.
Compound: Ca2GeP2
Source: Alexandria
Functional: PBE
Structure: optimized geometry

Values from the calculation:
For the density of states at the Fermi level, the calculation gives 1.8 states/eV per cell. Its crystal system is tetragonal. The calculation puts the calculated formation energy at -0.71 eV per atom.

abc: 7.102 7.102 4.209
angles: 90.00 90.00 90.00
Element x y z (fractional)
Ca  0.182  0.318  0.000
Ca  0.318  0.818  0.000
Ca  0.682  0.182  0.000
Ca  0.818  0.682  0.000
Ge  0.000  0.000  0.500
Ge  0.500  0.500  0.500
P  0.114  0.614  0.500
P  0.386  0.114  0.500
P  0.614  0.886  0.500
P  0.886  0.386  0.500

Number 1: VASP energy -8.86 eV per atom. Number 2: VASP energy -4.60 eV per atom.